Compound: Mg5Bi
Source: Alexandria
Functional: GGA-PBEsol
Structure: optimized geometry Values from VASP.

```
&SYSTEM
  ibrav = 0, nat = 6, ntyp = 2
/
ATOMIC_SPECIES
Mg 24.30 Mg.upf
Bi 208.98 Bi.upf
ATOMIC_POSITIONS crystal
Mg 0.5000 0.3333 0.6667
Mg 0.0000 0.0000 0.3368
Mg 0.5000 0.6667 0.3333
Mg 0.0000 0.3368 0.0000
Mg 0.0000 0.6632 0.6632
Bi 0.5000 0.0000 0.0000
CELL_PARAMETERS angstrom
5.4274 0.0000 0.0000
0.0000 5.5211 0.0000
0.0000 -2.7606 4.7814
```

## Properties
Calculated formation energy, eV per atom: -0.03
SG: No. 189
Uncorrected energy, eV for the cell shown: -13.1